1.
## Ho4MgSc (PBE)

Data for Ho4MgSc after structural relaxation.

a b c (Å): 5.971 5.971 11.622
angles (deg): 105.13 105.13 59.85
Sites, in units of the cell vectors:
Ho: 0.163 0.675 0.504
Ho: 0.251 0.409 0.750
Ho: 0.325 0.837 0.996
Ho: 0.409 0.251 0.250
Ho: 0.591 0.749 0.750
Ho: 0.675 0.163 0.004
Ho: 0.749 0.591 0.250
Ho: 0.837 0.325 0.496
Mg: 0.089 0.911 0.250
Mg: 0.911 0.089 0.750
Sc: 0.000 0.500 0.000
Sc: 0.500 0.000 0.500

Summary:
As for the energy above the lowest structure with this stoichiometry: 32 meV per atom.

=====

2.
## YZnO2F (PBE)

Data for YZnO2F after structural relaxation.

a b c (Å): 4.002 4.002 3.821
angles (deg): 90.00 90.00 90.00
Sites, in units of the cell vectors:
Y: 0.000 0.000 0.000
Zn: 0.500 0.500 0.500
O: 0.000 0.500 0.500
O: 0.500 0.000 0.500
F: 0.500 0.500 0.000

Summary:
The formation energy (no corrections) is -212.8 kJ per mole of atoms.

=====

3.
## Ba3Zn4Ag2Pt2 (PBE)

Data for Ba3Zn4Ag2Pt2 after structural relaxation.

a b c (Å): 4.567 4.567 16.391
angles (deg): 90.00 90.00 120.00
Sites, in units of the cell vectors:
Ba: 0.000 0.000 0.000
Ba: 0.000 0.000 0.272
Ba: 0.000 0.000 0.728
Zn: 0.333 0.667 0.424
Zn: 0.333 0.667 0.863
Zn: 0.667 0.333 0.137
Zn: 0.667 0.333 0.576
Ag: 0.333 0.667 0.587
Ag: 0.667 0.333 0.413
Pt: 0.333 0.667 0.137
Pt: 0.667 0.333 0.863

=====

4.
## HfTaO2 (PBE)

Data for HfTaO2 after structural relaxation.

a b c (Å): 4.044 4.044 4.044
angles (deg): 60.00 60.00 60.00
Sites, in units of the cell vectors:
Hf: 0.000 0.000 0.000
Ta: 0.500 0.500 0.500
O: 0.250 0.250 0.250
O: 0.750 0.750 0.750

Summary:
The formation energy (no corrections) is -100.8 kJ per mole of atoms. As for the energy above the lowest structure with this stoichiometry: 1003 meV per atom.

=====

Number 1: raw total energy -4.337 eV per atom. Number 2: raw total energy -6.110 eV per atom. Number 3: raw total energy -2.982 eV per atom. Number 4: raw total energy -8.976 eV per atom.